# DyY3Ho7 PBE-GGA optimized geometry
data_DyY3Ho7
_symmetry_space_group_name_H-M 'P 1 2/m 1'
_symmetry_Int_Tables_number 10
_symmetry_space_group_name_Hall '-P 2y'
_cell_length_a 6.970
_cell_length_b 5.506
_cell_length_c 9.862
_cell_angle_alpha 90.00
_cell_angle_beta 110.34
_cell_angle_gamma 90.00
loop_
_atom_site_label
_atom_site_type_symbol
_atom_site_fract_x
_atom_site_fract_y
_atom_site_fract_z
Dy1 Dy 0.000 0.000 0.000
Y1 Y 0.222 0.500 0.502
Y2 Y 0.500 0.000 0.000
Ho1 Ho 0.082 0.000 0.670
Ho2 Ho 0.179 0.500 0.859
Ho3 Ho 0.352 0.500 0.208
Ho4 Ho 0.500 0.000 0.500
# Formation energy   157 meV/atom
# DOS at the Fermi energy   18.8 states/eV/f.u.
# Energy relative to the lowest polymorph listed for this composition   0.00 eV/f.u.